1.
Below is a relaxed structure of AlPSeBr2, with properties calculated at the PBEsol level.

Cell: 4.8148 4.8148 5.2169 Å, 90.00 90.00 90.00°
Closest atoms and distances in Å follow each position.
Space group P4/mmm (No. 123)
Inequivalent atoms, fractional coordinates:
Al  0.0000  0.0000  0.0000  4 Br 2.41, 2 Se 2.61
P  0.5000  0.5000  0.5000  4 Se 3.40, 8 Br 3.55
Se  0.0000  0.0000  0.5000  2 Al 2.61
Br  0.0000  0.5000  0.0000  2 Al 2.41

Calculated values
Formation energy (no corrections): 0.252 eV per atom
DFT total energy: -3.24 eV per atom
Fermi-level density of states: 0.32 states/eV per atom
Offset from the most stable computed form: 0.63 eV/f.u.
Crystal system: tetragonal


2.
Below is a relaxed structure of MgRhBr, with properties calculated at the PBEsol level.

Cell: 6.1816 6.1816 6.1816 Å, 90.00 90.00 90.00°
Closest atoms and distances in Å follow each position.
Space group F-43m (No. 216)
Inequivalent atoms, fractional coordinates:
Mg  0.0000  0.0000  0.0000  4 Br 2.68, 4 Rh 2.68
Rh  0.2500  0.2500  0.7500  4 Mg 2.68
Br  0.2500  0.2500  0.2500  4 Mg 2.68

Calculated values
Formation energy (no corrections): 0.340 eV per atom
DFT total energy: -3.57 eV per atom
Fermi-level density of states: 0.76 states/eV per atom
Crystal system: cubic


3.
Below is a relaxed structure of TaCrSe4, with properties calculated at the PBEsol level.

Cell: 7.6989 7.6989 7.6989 Å, 90.00 90.00 90.00°
Closest atoms and distances in Å follow each position.
Space group F-43m (No. 216)
Inequivalent atoms, fractional coordinates:
Ta  0.0000  0.0000  0.0000  12 Se 3.19, 4 Cr 3.33
Cr  0.2500  0.2500  0.2500  12 Se 3.19, 4 Ta 3.33
Se  0.1253  0.1253  0.6253  6 Se 2.72-2.73

Calculated values
Formation energy (no corrections): 1.082 eV per atom
DFT total energy: -5.28 eV per atom
Fermi-level density of states: 1.11 states/eV per atom
Crystal system: cubic


4.
Below is a relaxed structure of Y2SiP, with properties calculated at the PBEsol level.

Cell: 5.1682 5.1682 3.0473 Å, 90.00 90.00 90.00°
Closest atoms and distances in Å follow each position.
Space group P4/mmm (No. 123)
Inequivalent atoms, fractional coordinates:
Y  0.0000  0.5000  0.0000  4 Si 3.00, 4 P 3.00, 2 Y 3.05
Si  0.0000  0.0000  0.5000  8 Y 3.00, 2 Si 3.05
P  0.5000  0.5000  0.5000  8 Y 3.00, 2 P 3.05

Calculated values
Formation energy (no corrections): -0.780 eV per atom
DFT total energy: -7.08 eV per atom
Fermi-level density of states: 0.88 states/eV per atom
Offset from the most stable computed form: 0.31 eV/f.u.
Crystal system: tetragonal


5.
Below is a relaxed structure of Si3TcBi, with properties calculated at the PBEsol level.

Cell: 4.6890 4.6890 4.6890 Å, 90.00 90.00 90.00°
Closest atoms and distances in Å follow each position.
Space group Pm-3m (No. 221)
Inequivalent atoms, fractional coordinates:
Si  0.0000  0.0000  0.5000  2 Tc 2.34
Tc  0.0000  0.0000  0.0000  6 Si 2.34
Bi  0.5000  0.5000  0.5000  12 Si 3.32

Calculated values
Formation energy (no corrections): 0.464 eV per atom
DFT total energy: -6.09 eV per atom
Fermi-level density of states: 1.39 states/eV per atom
Crystal system: cubic


6.
Below is a relaxed structure of CrReNiP2, with properties calculated at the PBEsol level.

Cell: 4.1365 4.1365 4.3396 Å, 90.00 90.00 90.00°
Closest atoms and distances in Å follow each position.
Space group P4/mmm (No. 123)
Inequivalent atoms, fractional coordinates:
Cr  0.0000  0.0000  0.0000  2 Ni 2.17
Re  0.5000  0.5000  0.0000  4 Cr 2.92, 8 P 3.00
Ni  0.0000  0.0000  0.5000  4 P 2.07, 2 Cr 2.17
P  0.0000  0.5000  0.5000  2 Ni 2.07

Calculated values
Energy relative to the elements: 110.8 kJ per mole of atoms
DFT total energy: -7.11 eV per atom
Fermi-level density of states: 0.98 states/eV per atom
Crystal system: tetragonal


7.
Below is a relaxed structure of La4As2S6O3, with properties calculated at the PBEsol level.

Cell: 11.8699 19.1207 5.7933 Å, 90.00 90.00 90.00°
Closest atoms and distances in Å follow each position.
Space group Iba2 (No. 45)
Inequivalent atoms, fractional coordinates:
La  0.1030  0.0741  0.0000  4 O 2.35-2.46
La  0.1101  0.2198  0.4993  2 O 2.30-2.33
As  0.1199  0.3925  0.1114  3 S 2.25-2.31
S  0.1314  0.2765  0.0006  1 As 2.31
S  0.1567  0.3738  0.4877  1 As 2.25
S  0.2038  0.0751  0.4997  1 As 2.28
O  0.0000  0.0000  0.2559  4 La 2.35-2.39
O  0.9996  0.1545  0.2541  4 La 2.30-2.46

Calculated values
Formation energy (no corrections): -2.045 eV per atom
DFT total energy: -6.95 eV per atom
Fermi-level density of states: 0.00 states/eV per atom
Crystal system: orthorhombic


8.
Below is a relaxed structure of NaLa3S, with properties calculated at the PBEsol level.

Cell: 5.5587 5.5587 5.5587 Å, 90.00 90.00 90.00°
Closest atoms and distances in Å follow each position.
Space group Pm-3m (No. 221)
Inequivalent atoms, fractional coordinates:
Na  0.0000  0.0000  0.0000  12 La 3.93
La  0.0000  0.5000  0.5000  2 S 2.78
S  0.5000  0.5000  0.5000  6 La 2.78

Calculated values
Formation energy (no corrections): -0.625 eV per atom
DFT total energy: -4.99 eV per atom
Fermi-level density of states: 1.49 states/eV per atom
Crystal system: cubic


9.
Below is a relaxed structure of Re3SnRu, with properties calculated at the PBEsol level.

Cell: 4.6898 4.6898 4.6898 Å, 90.00 90.00 90.00°
Closest atoms and distances in Å follow each position.
Space group Pm-3m (No. 221)
Inequivalent atoms, fractional coordinates:
Re  0.0000  0.0000  0.5000  2 Sn 2.34
Sn  0.0000  0.0000  0.0000  6 Re 2.34
Ru  0.5000  0.5000  0.5000  12 Re 3.32

Calculated values
Energy relative to the elements: 317.1 kJ per mole of atoms
DFT total energy: -7.60 eV per atom
Fermi-level density of states: 1.43 states/eV per atom
Crystal system: cubic


10.
Below is a relaxed structure of Nb3SiSnMo3, with properties calculated at the PBEsol level.

Cell: 7.1627 7.1627 8.7807 Å, 90.00 90.00 120.00°
Closest atoms and distances in Å follow each position.
Space group R3 (No. 146, hexagonal axes)
Inequivalent atoms, fractional coordinates:
Nb  0.0042  0.7508  0.0000  2 Mo 2.48-2.58
Si  0.0000  0.0000  0.2489  6 Nb 2.81-2.83, 6 Mo 2.81-2.83
Sn  0.0000  0.0000  0.7472  6 Mo 2.83-2.85, 6 Nb 2.84-2.86
Mo  0.0857  0.4166  0.1634  2 Nb 2.48-2.58

Calculated values
Formation energy (no corrections): -0.271 eV per atom
DFT total energy: -9.99 eV per atom
Fermi-level density of states: 0.36 states/eV per atom
Crystal system: trigonal


11.
Below is a relaxed structure of MnReSb2, with properties calculated at the PBEsol level.

Cell: 4.0288 4.0288 8.7878 Å, 90.00 90.00 90.00°
Closest atoms and distances in Å follow each position.
Space group I-4m2 (No. 119)
Inequivalent atoms, fractional coordinates:
Mn  0.0000  0.0000  0.0000  8 Sb 2.85-2.98, 4 Re 2.98
Re  0.0000  0.5000  0.2500  8 Sb 2.85-2.98, 4 Mn 2.98
Sb  0.0000  0.0000  0.5000  4 Mn 2.85, 4 Re 2.98, 4 Sb 2.98
Sb  0.0000  0.5000  0.7500  4 Re 2.85, 4 Mn 2.98, 4 Sb 2.98

Calculated values
Formation energy (no corrections): 0.688 eV per atom
DFT total energy: -7.36 eV per atom
Fermi-level density of states: 0.93 states/eV per atom
Offset from the most stable computed form: 1.11 eV/f.u.
Crystal system: tetragonal


12.
Below is a relaxed structure of Cu2BiMoI, with properties calculated at the PBEsol level.

Cell: 4.8172 4.8172 5.3036 Å, 90.00 90.00 90.00°
Closest atoms and distances in Å follow each position.
Space group P4/mmm (No. 123)
Inequivalent atoms, fractional coordinates:
Cu  0.0000  0.5000  0.0000  2 Mo 2.41
Bi  0.0000  0.0000  0.5000  2 Mo 2.65
Mo  0.0000  0.0000  0.0000  4 Cu 2.41, 2 Bi 2.65
I  0.5000  0.5000  0.5000  4 Bi 3.41, 8 Cu 3.58

Calculated values
Formation energy (no corrections): 1.191 eV per atom
DFT total energy: -4.11 eV per atom
Fermi-level density of states: 1.04 states/eV per atom
Crystal system: tetragonal


13.
Below is a relaxed structure of RhPbCl, with properties calculated at the PBEsol level.

Cell: 11.7000 3.3630 3.4516 Å, 90.00 107.14 90.00°
Closest atoms and distances in Å follow each position.
Space group Cm (No. 8)
Inequivalent atoms, fractional coordinates:
Rh  0.0000  0.0000  0.0000  2 Cl 2.45
Pb  0.3822  0.0000  0.3823  4 Rh 2.75, 2 Cl 3.01
Cl  0.1593  0.5000  0.1576  2 Rh 2.45

Calculated values
Formation energy (no corrections): -0.060 eV per atom
DFT total energy: -4.78 eV per atom
Fermi-level density of states: 0.57 states/eV per atom
Offset from the most stable computed form: 0.00 eV/f.u.
Crystal system: monoclinic


14.
Below is a relaxed structure of CsTaS3, with properties calculated at the PBEsol level.

Cell: 7.2366 7.2366 5.9305 Å, 90.00 90.00 120.00°
Closest atoms and distances in Å follow each position.
Space group P6_3mc (No. 186)
Inequivalent atoms, fractional coordinates:
Cs  0.3333  0.6667  0.0000  12 S 3.62-3.71
Ta  0.0000  0.0000  0.2930  3 S 2.32
S  0.1568  0.3137  0.5015  1 Ta 2.32

Calculated values
Formation energy (no corrections): -1.158 eV per atom
DFT total energy: -6.49 eV per atom
Crystal system: hexagonal


15.
Below is a relaxed structure of BaZrFe, with properties calculated at the PBEsol level.

Cell: 6.5975 6.5975 6.5975 Å, 90.00 90.00 90.00°
Closest atoms and distances in Å follow each position.
Space group F-43m (No. 216)
Inequivalent atoms, fractional coordinates:
Ba  0.0000  0.0000  0.0000  4 Fe 2.86
Zr  0.0000  0.0000  0.5000  4 Fe 2.86
Fe  0.2500  0.2500  0.2500  4 Zr 2.86, 4 Ba 2.86

Calculated values
Energy relative to the elements: 85.6 kJ per mole of atoms
DFT total energy: -5.85 eV per atom
Fermi-level density of states: 1.08 states/eV per atom
Crystal system: cubic


16.
Below is a relaxed structure of ZrTl2Fe, with properties calculated at the PBEsol level.

Cell: 6.7686 6.7686 6.7686 Å, 90.00 90.00 90.00°
Closest atoms and distances in Å follow each position.
Space group Fm-3m (No. 225)
Inequivalent atoms, fractional coordinates:
Zr  0.0000  0.0000  0.0000  8 Tl 2.93
Tl  0.2500  0.2500  0.2500  4 Zr 2.93, 4 Fe 2.93
Fe  0.0000  0.0000  0.5000  8 Tl 2.93

Calculated values
Energy relative to the elements: 33.1 kJ per mole of atoms
DFT total energy: -5.49 eV per atom
Fermi-level density of states: 1.01 states/eV per atom
Crystal system: cubic


17.
Below is a relaxed structure of TaBe2TcSe, with properties calculated at the PBEsol level.

Cell: 4.3535 4.3535 4.7162 Å, 90.00 90.00 90.00°
Closest atoms and distances in Å follow each position.
Space group P4/mmm (No. 123)
Inequivalent atoms, fractional coordinates:
Ta  0.0000  0.0000  0.0000  4 Be 2.18, 2 Se 2.36
Be  0.0000  0.5000  0.0000  2 Ta 2.18
Tc  0.5000  0.5000  0.5000  4 Se 3.08, 8 Be 3.21
Se  0.0000  0.0000  0.5000  2 Ta 2.36

Calculated values
Formation energy (no corrections): 1.583 eV per atom
DFT total energy: -5.55 eV per atom
Fermi-level density of states: 0.71 states/eV per atom
Crystal system: tetragonal


18.
Below is a relaxed structure of AlNi3, with properties calculated at the PBEsol level.

Cell: 5.5910 5.5910 5.5910 Å, 90.00 90.00 90.00°
Closest atoms and distances in Å follow each position.
Space group Fm-3m (No. 225)
Inequivalent atoms, fractional coordinates:
Al  0.0000  0.0000  0.0000  8 Ni 2.42
Ni  0.0000  0.0000  0.5000  8 Ni 2.42
Ni  0.2500  0.2500  0.2500  4 Ni 2.42, 4 Al 2.42

Calculated values
Energy relative to the elements: -37.3 kJ per mole of atoms
DFT total energy: -6.03 eV per atom
Fermi-level density of states: 0.68 states/eV per atom
Crystal system: cubic


19.
Below is a relaxed structure of SrGeNF2, with properties calculated at the PBEsol level.

Cell: 4.2869 4.2869 3.9024 Å, 90.00 90.00 90.00°
Closest atoms and distances in Å follow each position.
Space group P4/mmm (No. 123)
Inequivalent atoms, fractional coordinates:
Sr  0.0000  0.0000  0.0000  8 F 2.90, 4 N 3.03
Ge  0.5000  0.5000  0.5000  2 N 1.95, 4 F 2.14
N  0.5000  0.5000  0.0000  2 Ge 1.95
F  0.0000  0.5000  0.5000  2 Ge 2.14

Calculated values
Formation energy (no corrections): -1.670 eV per atom
DFT total energy: -5.50 eV per atom
Fermi-level density of states: 0.07 states/eV per atom
Crystal system: tetragonal


20.
Below is a relaxed structure of CsBaSi2Hg, with properties calculated at the PBEsol level.

Cell: 5.6474 5.6474 6.9475 Å, 90.00 90.00 90.00°
Closest atoms and distances in Å follow each position.
Space group P4/mmm (No. 123)
Inequivalent atoms, fractional coordinates:
Cs  0.0000  0.0000  0.0000  2 Ba 3.47
Ba  0.0000  0.0000  0.5000  4 Si 2.82
Si  0.0000  0.5000  0.5000  2 Ba 2.82
Hg  0.5000  0.5000  0.0000  4 Cs 3.99

Calculated values
Formation energy (no corrections): 1.003 eV per atom
DFT total energy: -2.03 eV per atom
Fermi-level density of states: 0.81 states/eV per atom
Crystal system: tetragonal